The following is a DFT calculation (PBE-GGA) of crystalline NaPaF6 at its relaxed geometry.

Lattice parameters (Å, degrees): 5.975 5.975 5.975 60.00 60.00 60.00
Positions (direct):
Na  0.500  0.500  0.500
F  0.753  0.247  0.247
Pa  0.000  0.000  0.000
F  0.247  0.753  0.247
F  0.753  0.247  0.753
F  0.753  0.753  0.247
F  0.247  0.247  0.753
F  0.247  0.753  0.753

Summary:
SG ... Fm-3m
Magnetization ... 0.0000 μB/atom
E ... -6.335 eV/atom